Crystalline CrO2 at its relaxed geometry, computed with GGA+U.

Output
total DFT energy (no corrections): -87.88 eV for the cell shown
spin magnetization: 0.67 μB/atom

POSCAR file:
```
CrO2
1.0
3.864 0.000 0.000
-1.932 6.069 0.057
0.000 -1.838 5.971
Cr O
4 8
Direct
0.205 0.411 0.290
0.896 0.792 0.308
0.795 0.589 0.710
0.104 0.208 0.692
0.936 0.873 0.624
0.363 0.726 0.301
0.860 0.721 0.998
0.064 0.127 0.376
0.263 0.526 0.653
0.140 0.279 0.002
0.737 0.474 0.347
0.637 0.274 0.699
```